Record 1
TaNb5Sb2 | PBE-GGA | optimized geometry

Computed properties:
The crystal system is tetragonal. As for the total DFT energy (no corrections): -72.60 eV per cell. As for the total moment: 0.001 μB per atom.

Unit cell a=5.303 b=5.303 c=5.311 alpha=90.00 beta=90.00 gamma=90.00
Element x y z (fractional)
1 Nb 0.250 0.500 0.249
2 Nb 0.750 0.500 0.249
3 Nb 0.000 0.000 0.500
4 Nb 0.500 0.250 0.751
5 Nb 0.500 0.750 0.751
6 Sb 0.500 0.000 0.250
7 Sb 0.000 0.500 0.750
8 Ta 0.000 0.000 0.000

Record 2
TbNb2Sb3 | PBE-GGA | optimized geometry

Computed properties:
The crystal system is trigonal. As for the total DFT energy (no corrections): -39.59 eV per cell. As for the total moment: 0.002 μB per atom.

Unit cell a=4.764 b=4.764 c=7.210 alpha=90.00 beta=90.00 gamma=120.00
Element x y z (fractional)
1 Nb 0.333 0.667 0.109
2 Nb 0.667 0.333 0.891
3 Sb 0.000 0.000 0.000
4 Sb 0.667 0.333 0.282
5 Sb 0.333 0.667 0.718
6 Tb 0.000 0.000 0.500

Record 3
TbNbSb | PBE-GGA | optimized geometry

Computed properties:
The crystal system is cubic. As for the total DFT energy (no corrections): -18.88 eV per cell. As for the total moment: 0.043 μB per atom.

Unit cell a=4.821 b=4.821 c=4.821 alpha=60.00 beta=60.00 gamma=60.00
Element x y z (fractional)
1 Nb 0.500 0.500 0.500
2 Sb 0.250 0.250 0.250
3 Tb 0.000 0.000 0.000

Q: The highest total moment belongs to which entry?
A: TbNbSb

Q: total DFT energy (no corrections) of number 2 (TbNb2Sb3)?
A: -39.59 eV per cell